# 1
## TlZnGa (PBE-GGA)

Data for a geometry-optimized TlZnGa structure.

Computed properties:
- Energy of formation: 0.08 eV/atom

abc: 5.8030 4.4501 6.5194
angles: 110.44 115.20 89.23
Closest atoms and distances in Å follow each position.
Atoms (fractional coordinates):
Zn 0.1076 0.8787 0.7423  2 Zn 2.59-2.60, 3 Ga 2.60-2.68
Zn 0.2181 0.4996 0.9863  2 Zn 2.59-2.60, 3 Ga 2.60-2.68
Ga 0.2916 0.1225 0.2309  3 Zn 2.60-2.68, 1 Ga 2.67
Ga 0.0332 0.2556 0.4976  3 Zn 2.60-2.68, 1 Ga 2.67
Tl 0.5518 0.8080 0.6057  2 Zn 2.95-3.05, 2 Ga 3.05-3.07
Tl 0.7737 0.5696 0.1224  2 Zn 2.95-3.04, 2 Ga 3.06-3.07



# 2
## NdDy4Sb5 (PBE-GGA)

Data for a geometry-optimized NdDy4Sb5 structure.

Computed properties:
- ΔE_f (raw): -1.14 eV/atom

abc: 4.4135 6.2415 11.6697
angles: 105.51 100.90 90.00
Closest atoms and distances in Å follow each position.
Atoms (fractional coordinates):
Sb 0.8006 0.3006 0.6011  6 Dy 3.10-3.12
Sb 0.1994 0.6994 0.3989  6 Dy 3.10-3.12
Sb 0.0000 0.5000 0.0000  2 Nd 3.12, 4 Dy 3.12
Sb 0.6033 0.1033 0.2066  4 Dy 3.09-3.12, 2 Nd 3.17
Sb 0.3967 0.8967 0.7934  4 Dy 3.09-3.12, 2 Nd 3.17
Dy 0.7983 0.7983 0.5967  6 Sb 3.09-3.12
Dy 0.6002 0.6002 0.2004  6 Sb 3.11-3.12
Dy 0.3998 0.3998 0.7996  6 Sb 3.11-3.12
Dy 0.2017 0.2017 0.4033  6 Sb 3.09-3.12
Nd 0.0000 0.0000 0.0000  6 Sb 3.12-3.17



Number 1: size of the total moment 0.0 Bohr magnetons per cell, Fermi-level density of states 0.321 states/eV/atom, total energy -12.84 eV/cell. Number 2: size of the total moment 0.0 Bohr magnetons per cell, Fermi-level density of states 0.196 states/eV/atom, total energy -55.18 eV/cell.